DFT (PBE) results for a geometry-optimized Co5C structure.

Computed properties:
calculated formation energy: 1.198 eV/atom
symmetry: F-43m
calculated total energy: -37.6 eV per cell
energy relative to the lowest polymorph listed for this composition: 6.121 eV per formula unit

The structure in POSCAR format:
```
Co5C
1.0
0.0000 3.2541 3.2541
3.2541 0.0000 3.2541
3.2541 3.2541 0.0000
Co C
5 1
Direct
0.6253 0.6253 0.6253
0.6253 0.6253 0.1241
0.6253 0.1241 0.6253
0.1241 0.6253 0.6253
0.2500 0.2500 0.2500
0.0000 0.0000 0.0000
```